# LiTb4Pd12 PBE optimized geometry
data_LiTb4Pd12
_cell_length_a 7.266
_cell_length_b 7.266
_cell_length_c 7.266
_cell_angle_alpha 109.47
_cell_angle_beta 109.47
_cell_angle_gamma 109.47
_space_group_name_H-M_alt 'P 1'
_space_group_IT_number 1
loop_
_space_group_symop_operation_xyz
'x,y,z'
loop_
_atom_site_label
_atom_site_fract_x
_atom_site_fract_y
_atom_site_fract_z
_atom_site_occupancy
Li1 0.000 0.000 0.000 1
Tb1 0.000 0.000 0.500 1
Tb2 0.500 0.000 0.000 1
Tb3 0.500 0.500 0.500 1
Tb4 0.000 0.500 0.000 1
Pd1 0.000 0.277 0.277 1
Pd2 0.000 0.723 0.723 1
Pd3 0.723 0.723 0.000 1
Pd4 0.277 0.277 0.000 1
Pd5 0.277 0.000 0.277 1
Pd6 0.723 0.000 0.723 1
Pd7 0.500 0.250 0.750 1
Pd8 0.500 0.750 0.250 1
Pd9 0.750 0.250 0.500 1
Pd10 0.250 0.750 0.500 1
Pd11 0.750 0.500 0.250 1
Pd12 0.250 0.500 0.750 1
# Space group: Im-3m
# Energy of formation in eV/f.u.: -14.13